DFT (GGA-PBE) results for a geometry-optimized NaTmCoSe3 structure.

Lattice parameters (Å, degrees): 8.2177 4.1083 15.6795 90.00 90.00 90.00
Closest atoms and distances in Å follow each position.
Space group Pnma (No. 62)
Inequivalent atoms, fractional coordinates:
Na (0.0762, 0.2500, 0.2093) x4  7 Se 3.02-3.19
Tm (0.2400, 0.7500, 0.4559) x4  6 Se 2.77-2.95
Co (0.1220, 0.2500, 0.6390) x4  4 Se 2.33-2.43
Se (0.0028, 0.2500, 0.4052) x4  2 Co 2.40
Se (0.1286, 0.7500, 0.0561) x4  1 Co 2.43
Se (0.1933, 0.2500, 0.7830) x4  1 Co 2.33

Results
- E above lowest polymorph (meV per atom) = 122.3
- energy (eV per atom) = -4.8701

=====

DFT (GGA-PBE) results for a geometry-optimized KZr3As5 structure.

Lattice parameters (Å, degrees): 6.2214 6.2214 6.4865 90.00 90.00 120.00
Closest atoms and distances in Å follow each position.
Space group P6/mmm (No. 191)
Inequivalent atoms, fractional coordinates:
K (0.0000, 0.0000, 0.0000) x1  2 As 3.24
Zr (0.0000, 0.5000, 0.5000) x3  4 As 2.70
As (0.0000, 0.0000, 0.5000) x1  6 Zr 3.11, 2 K 3.24
As (0.3333, 0.6667, 0.1890) x4  1 As 2.45, 3 Zr 2.70

Results
- energy (eV per atom) = -6.1385

=====

DFT (GGA-PBE) results for a geometry-optimized SrAg2Pd3 structure.

Lattice parameters (Å, degrees): 5.5394 5.5394 4.5106 90.00 90.00 120.00
Closest atoms and distances in Å follow each position.
Space group P6/mmm (No. 191)
Inequivalent atoms, fractional coordinates:
Sr (0.0000, 0.0000, 0.0000) x1  6 Ag 3.20, 12 Pd 3.57
Ag (0.3333, 0.6667, 0.0000) x2  6 Pd 2.76
Pd (0.0000, 0.5000, 0.5000) x3  4 Ag 2.76, 4 Pd 2.77

Results
- energy (eV per atom) = -4.1669

=====

> What is the formula in the second record?

KZr3As5

=====

> What is the energy in the first record?

-4.8701 eV per atom

=====

> Which value of energy does entry 3 give?

-4.1669 eV per atom